Material: Ho2TlSb
Method: DFT, PBE
State: relaxed

Cell lengths 3.9497, 3.9497, 6.9194 Å; angles 90.00, 90.00, 90.00 degrees
With the nearest neighbours (Å) after each atom.
Element x y z (fractional)
Tl1 0.5000 0.5000 0.5000  8 Ho 3.32, 2 Sb 3.46
Ho1 0.0000 0.0000 0.7600  4 Sb 3.25, 2 Ho 3.32-3.60, 4 Tl 3.32
Sb1 0.5000 0.5000 0.0000  8 Ho 3.25, 2 Tl 3.46
Ho2 0.0000 0.0000 0.2400  4 Sb 3.25, 2 Ho 3.32-3.60, 4 Tl 3.32

Size of the total moment in μB per formula unit: 0.00
ΔE_f (raw) in eV/atom: -0.576
Electronic total energy in eV per atom: -4.487
Relative energy among the computed polymorphs in kJ per mole of atoms: 11.79
Space-group type: P4/mmm, No. 123


Material: NaHoGe2
Method: DFT, PBE
State: relaxed

Cell lengths 4.1984, 4.4804, 4.4804 Å; angles 90.00, 90.00, 90.00 degrees
With the nearest neighbours (Å) after each atom.
Element x y z (fractional)
Na1 0.5000 0.5000 0.5000  8 Ge 3.07, 4 Ho 3.17
Ge1 0.0000 0.5000 0.0000  4 Na 3.07, 4 Ho 3.07, 4 Ge 3.17
Ge2 0.0000 0.0000 0.5000  4 Na 3.07, 4 Ho 3.07, 4 Ge 3.17
Ho1 0.5000 0.0000 0.0000  8 Ge 3.07, 4 Na 3.17

Size of the total moment in μB per formula unit: 0.00
Energy of formation in eV/f.u.: -1.46
Electronic total energy in eV per atom: -4.149
Space-group type: P4/mmm, No. 123


Material: MgP2PbO
Method: DFT, PBE
State: relaxed

Cell lengths 5.4308, 5.4308, 4.1241 Å; angles 90.00, 90.00, 90.00 degrees
With the nearest neighbours (Å) after each atom.
Element x y z (fractional)
P1 0.0000 0.5000 0.0000  2 Pb 2.72
O1 0.0000 0.0000 0.5000  2 Pb 2.06
Pb1 0.0000 0.0000 0.0000  2 O 2.06
P2 0.5000 0.0000 0.0000  2 Pb 2.72
Mg1 0.5000 0.5000 0.5000  8 P 3.41

Size of the total moment in μB per formula unit: 0.00
ΔE_f (raw) in eV/atom: 0.588
Electronic total energy in eV per atom: -3.628
Relative energy among the computed polymorphs in kJ per mole of atoms: 44.11
Space-group type: P4/mmm, No. 123